(1)
# Zn7P | the Alexandria database | PBE | relaxed
data_Zn7P
_cell_length_a 5.5518
_cell_length_b 5.5518
_cell_length_c 5.5518
_cell_angle_alpha 60.00
_cell_angle_beta 60.00
_cell_angle_gamma 60.00
_space_group_name_H-M_alt 'P 1'
_space_group_IT_number 1
loop_
_space_group_symop_operation_xyz
'x,y,z'
loop_
_atom_site_label
_atom_site_fract_x
_atom_site_fract_y
_atom_site_fract_z
Zn1 0.0000 0.0000 0.0000
Zn2 0.0000 0.0000 0.5000
Zn3 0.0000 0.5000 0.0000
Zn4 0.0000 0.5000 0.5000
Zn5 0.5000 0.0000 0.0000
Zn6 0.5000 0.0000 0.5000
Zn7 0.5000 0.5000 0.0000
P1 0.5000 0.5000 0.5000
# * Fermi-level density of states: 0.323 states/eV/atom
# * DFT formation energy: 105 meV per atom
# * space group: No. 225
# * electronic total energy: -1.69 eV/atom
# * crystal system: cubic

---

(2)
# Zn2P | the Alexandria database | PBE | relaxed
data_Zn2P
_cell_length_a 2.8444
_cell_length_b 2.8444
_cell_length_c 11.5151
_cell_angle_alpha 90.00
_cell_angle_beta 90.00
_cell_angle_gamma 90.00
_space_group_name_H-M_alt 'P 1'
_space_group_IT_number 1
loop_
_space_group_symop_operation_xyz
'x,y,z'
loop_
_atom_site_label
_atom_site_fract_x
_atom_site_fract_y
_atom_site_fract_z
Zn1 0.0000 0.0000 0.1671
Zn2 0.0000 0.0000 0.8329
Zn3 0.5000 0.5000 0.3329
Zn4 0.5000 0.5000 0.6671
P1 0.0000 0.0000 0.5000
P2 0.5000 0.5000 0.0000
# * Fermi-level density of states: 0.528 states/eV/atom
# * DFT formation energy: 289 meV per atom
# * space group: No. 139
# * electronic total energy: -2.36 eV/atom
# * crystal system: tetragonal

---

(3)
# Zn2P | the Alexandria database | PBE | relaxed
data_Zn2P
_cell_length_a 4.8533
_cell_length_b 5.8976
_cell_length_c 3.8388
_cell_angle_alpha 90.00
_cell_angle_beta 90.00
_cell_angle_gamma 90.00
_space_group_name_H-M_alt 'P 1'
_space_group_IT_number 1
loop_
_space_group_symop_operation_xyz
'x,y,z'
loop_
_atom_site_label
_atom_site_fract_x
_atom_site_fract_y
_atom_site_fract_z
Zn1 0.2171 0.1241 0.0000
Zn2 0.2829 0.6241 0.5000
Zn3 0.7171 0.3759 0.5000
Zn4 0.7829 0.8759 0.0000
P1 0.0000 0.5000 0.0000
P2 0.5000 0.0000 0.5000
# * Fermi-level density of states: 0.191 states/eV/atom
# * DFT formation energy: 24 meV per atom
# * space group: No. 58
# * electronic total energy: -2.63 eV/atom
# * crystal system: orthorhombic

---

Question: Which value of electronic total energy does entry 2 give?
Answer: -2.36 eV/atom

---

Question: Which of these has the lowest Fermi-level density of states?
Answer: number 3